[1]
Compound: Ca2Tl
Source: Alexandria
Functional: PBE
Structure: relaxed

a b c (Å): 5.487 5.487 3.652
angles (deg): 90.00 90.00 90.00
Element x y z (fractional)
1 Tl 0.000 0.000 0.000
2 Ca 0.000 0.500 0.500
3 Ca 0.500 0.000 0.500

Results
Space group: No. 123
Energy of formation from the pure elements: -222 meV per atom

---

[2]
Compound: YHf3Bi
Source: Alexandria
Functional: PBE
Structure: relaxed

a b c (Å): 5.241 5.241 5.241
angles (deg): 90.00 90.00 90.00
Element x y z (fractional)
1 Y 0.000 0.000 0.000
2 Hf 0.000 0.500 0.000
3 Hf 0.000 0.000 0.500
4 Hf 0.500 0.000 0.000
5 Bi 0.500 0.500 0.500

Results
Space group: No. 221
Energy of formation from the pure elements: 1448 meV per atom

---

[3]
Compound: Pm2CuIrO6
Source: Alexandria
Functional: PBE
Structure: relaxed

a b c (Å): 5.409 5.281 5.807
angles (deg): 117.05 117.39 90.00
Site moments in Bohr magnetons follow the coordinates.
Element x y z (fractional)
1 Pm 0.226 0.248 0.497  0.00
2 Pm 0.774 0.752 0.503  0.00
3 Cu 0.500 0.000 0.000  0.07
4 Ir 0.000 0.500 0.000  -0.17
5 O 0.326 0.722 0.443  -0.01
6 O 0.184 0.176 0.854  -0.01
7 O 0.816 0.321 0.146  -0.01
8 O 0.184 0.679 0.854  -0.01
9 O 0.816 0.824 0.146  -0.01
10 O 0.674 0.278 0.557  -0.01

Results
Space group: No. 12
E_form (uncorrected): -19.9 eV per formula unit

---

[4]
Compound: Pd2PbAu6
Source: Alexandria
Functional: PBE
Structure: relaxed

a b c (Å): 5.132 5.139 9.844
angles (deg): 128.14 110.33 98.79
Element x y z (fractional)
1 Pd 0.224 0.054 0.445
2 Pd 0.776 0.946 0.555
3 Pb 0.000 0.500 0.000
4 Au 0.138 0.301 0.245
5 Au 0.320 0.845 0.666
6 Au 0.680 0.155 0.334
7 Au 0.431 0.611 0.874
8 Au 0.569 0.389 0.126
9 Au 0.862 0.699 0.755

Results
Space group: No. 2
Energy of formation from the pure elements: -37 meV per atom

---

[5]
Compound: AlFeIr2
Source: Alexandria
Functional: PBE
Structure: relaxed

a b c (Å): 2.858 4.615 4.238
angles (deg): 90.00 90.00 90.00
Site moments in Bohr magnetons follow the coordinates.
Element x y z (fractional)
1 Ir 0.000 0.000 0.000  0.11
2 Ir 0.500 0.500 0.000  0.42
3 Fe 0.000 0.500 0.500  2.56
4 Al 0.500 0.000 0.500  -0.02

Results
Space group: No. 47
Energy of formation from the pure elements: -231 meV per atom

---

[6]
Compound: MgPdSe
Source: Alexandria
Functional: PBE
Structure: relaxed

a b c (Å): 5.568 4.554 7.011
angles (deg): 88.09 66.58 52.33
Element x y z (fractional)
1 Mg 0.456 0.597 0.595
2 Mg 0.074 0.823 0.134
3 Pd 0.193 0.286 0.849
4 Pd 0.753 0.134 0.881
5 Se 0.822 0.825 0.557
6 Se 0.629 0.595 0.173

Results
Space group: No. 5
E_form (uncorrected): -2.1 eV per formula unit

---

Number 1: uncorrected energy -2.345 eV/atom. Number 2: uncorrected energy -6.593 eV/atom. Number 3: uncorrected energy -7.215 eV/atom. Number 4: uncorrected energy -3.788 eV/atom. Number 5: uncorrected energy -7.712 eV/atom. Number 6: uncorrected energy -4.112 eV/atom.